P | Crystalline YErMg4 at its relaxed geometry, computed with GGA-PBE.

abc: 8.5206 8.5206 8.5206
angles: 90.00 90.00 90.00
Space group F-43m (No. 216)
One atom of each set of equivalent atoms:
Y 0.0000 0.0000 0.0000 (multiplicity 4)
Er 0.2500 0.2500 0.7500 (multiplicity 4)
Mg 0.1250 0.1250 0.3750 (multiplicity 16)

Calculated values
As for the crystal system: cubic.

***

Q | Crystalline YErMg4 at its relaxed geometry, computed with GGA-PBE.

abc: 13.6104 3.4492 6.8165
angles: 90.00 104.45 90.00
Space group C2/m (No. 12)
One atom of each set of equivalent atoms:
Y 0.0000 0.0000 0.0000 (multiplicity 2)
Er 0.0000 0.0000 0.5000 (multiplicity 2)
Mg 0.1748 0.5000 0.3388 (multiplicity 4)
Mg 0.1754 0.5000 0.8366 (multiplicity 4)

Calculated values
As for the crystal system: monoclinic.

***

Energy ordering: P at the bottom, the next structure 24 meV/atom above.